Version a
## RbCuAsSe2 (PBE-GGA)

Data for a relaxed structure of RbCuAsSe2.

a b c (Å): 6.045 6.045 6.208
angles (deg): 90.00 90.00 90.00
Fractional positions:
Rb 0.000 0.000 0.000
Cu 0.500 0.500 0.500
As 0.000 0.000 0.500
Se 0.000 0.500 0.000
Se 0.500 0.000 0.000

Calculated values
space-group type = No. 123
DOS at the Fermi energy = 7.94 states/eV/cell

=====

Version b
## RbCuAsSe2 (PBE-GGA)

Data for a relaxed structure of RbCuAsSe2.

a b c (Å): 5.178 5.178 4.660
angles (deg): 90.00 90.00 90.00
Fractional positions:
Rb 0.000 0.000 0.000
Cu 0.500 0.500 0.500
As 0.500 0.500 0.000
Se 0.000 0.500 0.500
Se 0.500 0.000 0.500

Calculated values
space-group type = No. 123
DOS at the Fermi energy = 3.21 states/eV/cell

=====

version b is the most stable structure; the next one sits 152.5 kJ/mol of atoms above it.

=====

Version a
## CuRe3As (PBE-GGA)

Data for a relaxed structure of CuRe3As.

a b c (Å): 4.487 4.487 4.487
angles (deg): 90.00 90.00 90.00
Fractional positions:
Cu 0.000 0.000 0.000
Re 0.000 0.000 0.500
Re 0.000 0.500 0.000
Re 0.500 0.000 0.000
As 0.500 0.500 0.500

Calculated values
space-group type = No. 221
DOS at the Fermi energy = 6.15 states/eV/cell

=====

Version b
## CuRe3As (PBE-GGA)

Data for a relaxed structure of CuRe3As.

a b c (Å): 4.523 4.523 4.523
angles (deg): 90.00 90.00 90.00
Fractional positions:
Cu 0.000 0.000 0.000
Re 0.000 0.500 0.500
Re 0.500 0.000 0.500
Re 0.500 0.500 0.000
As 0.500 0.500 0.500

Calculated values
space-group type = No. 221
DOS at the Fermi energy = 3.37 states/eV/cell

=====

version b is the most stable structure; the next one sits 29.5 kJ/mol of atoms above it.

=====

Version a
## CuReAs2 (PBE-GGA)

Data for a relaxed structure of CuReAs2.

a b c (Å): 4.407 4.407 4.407
angles (deg): 60.00 60.00 60.00
Fractional positions:
Cu 0.000 0.000 0.000
Re 0.500 0.500 0.500
As 0.250 0.250 0.250
As 0.750 0.750 0.750

Calculated values
space-group type = No. 225
DOS at the Fermi energy = 4.38 states/eV/cell

=====

Version b
## CuReAs2 (PBE-GGA)

Data for a relaxed structure of CuReAs2.

a b c (Å): 2.814 2.814 9.843
angles (deg): 90.00 90.00 117.53
Fractional positions:
Cu 0.000 0.000 0.000
Re 0.500 0.500 0.222
As 0.000 0.000 0.438
As 0.500 0.500 0.792

Calculated values
space-group type = No. 35
DOS at the Fermi energy = 2.70 states/eV/cell

=====

version b is the most stable structure; the next one sits 1.9 kJ/mol of atoms above it.

=====

Version a
## CuReAs (PBE-GGA)

Data for a relaxed structure of CuReAs.

a b c (Å): 7.104 6.855 2.782
angles (deg): 83.59 73.51 22.90
Fractional positions:
Cu 0.000 0.000 0.000
Re 0.339 0.339 0.661
As 0.678 0.678 0.322

Calculated values
space-group type = No. 42
DOS at the Fermi energy = 2.32 states/eV/cell

=====

Version b
## CuReAs (PBE-GGA)

Data for a relaxed structure of CuReAs.

a b c (Å): 4.066 4.066 4.066
angles (deg): 60.00 60.00 60.00
Fractional positions:
Cu 0.000 0.000 0.000
Re 0.500 0.500 0.500
As 0.750 0.750 0.750

Calculated values
space-group type = No. 216
DOS at the Fermi energy = 2.43 states/eV/cell

=====

Version c
## CuReAs (PBE-GGA)

Data for a relaxed structure of CuReAs.

a b c (Å): 4.143 4.143 4.143
angles (deg): 60.00 60.00 60.00
Fractional positions:
Cu 0.000 0.000 0.000
Re 0.250 0.250 0.250
As 0.500 0.500 0.500

Calculated values
space-group type = No. 216
DOS at the Fermi energy = 4.43 states/eV/cell

=====

Version d
## CuReAs (PBE-GGA)

Data for a relaxed structure of CuReAs.

a b c (Å): 4.391 4.391 2.648
angles (deg): 90.00 90.00 120.00
Fractional positions:
Cu 0.000 0.000 0.000
Re 0.667 0.333 0.500
As 0.333 0.667 0.500

Calculated values
space-group type = No. 187
DOS at the Fermi energy = 0.98 states/eV/cell

=====

version d is the most stable structure; the next one sits 7.6 kJ/mol of atoms above it.

=====

Version a
## CuAs2Rh (PBE-GGA)

Data for a relaxed structure of CuAs2Rh.

a b c (Å): 4.423 4.423 4.423
angles (deg): 60.00 60.00 60.00
Fractional positions:
Cu 0.000 0.000 0.000
As 0.250 0.250 0.250
As 0.750 0.750 0.750
Rh 0.500 0.500 0.500

Calculated values
space-group type = No. 225
DOS at the Fermi energy = 1.46 states/eV/cell

=====

Version b
## CuAs2Rh (PBE-GGA)

Data for a relaxed structure of CuAs2Rh.

a b c (Å): 2.967 3.634 6.352
angles (deg): 90.00 90.00 90.00
Fractional positions:
Cu 0.000 0.000 0.000
As 0.000 0.000 0.405
As 0.500 0.500 0.842
Rh 0.500 0.500 0.239

Calculated values
space-group type = No. 25
DOS at the Fermi energy = 1.75 states/eV/cell

=====

version b is the most stable structure; the next one sits 4.3 kJ/mol of atoms above it.

=====

Version a
## CuAs2Rh (PBE-GGA)

Data for a relaxed structure of CuAs2Rh.

a b c (Å): 7.661 7.661 7.661
angles (deg): 23.60 23.60 23.60
Fractional positions:
Cu 0.000 0.000 0.000
As 0.250 0.250 0.250
As 0.750 0.750 0.750
Rh 0.500 0.500 0.500

Calculated values
space-group type = No. 166
DOS at the Fermi energy = 1.90 states/eV/cell

=====

Version b
## CuAs2Rh (PBE-GGA)

Data for a relaxed structure of CuAs2Rh.

a b c (Å): 6.823 6.823 6.823
angles (deg): 133.09 133.09 68.51
Fractional positions:
Cu 0.000 0.000 0.000
Cu 0.750 0.250 0.500
As 0.128 0.625 0.003
As 0.375 0.378 0.503
As 0.622 0.125 0.997
As 0.875 0.872 0.497
Rh 0.250 0.750 0.500
Rh 0.500 0.500 0.000

Calculated values
space-group type = No. 122
DOS at the Fermi energy = 4.20 states/eV/cell

=====

version a is the most stable structure; the next one sits 9.4 kJ/mol of atoms above it.

=====

Version a
## CuAs2Rh (PBE-GGA)

Data for a relaxed structure of CuAs2Rh.

a b c (Å): 4.207 4.207 5.338
angles (deg): 101.34 101.34 42.60
Fractional positions:
Cu 0.000 0.000 0.000
As 0.244 0.244 0.746
As 0.756 0.756 0.254
Rh 0.500 0.500 0.500

Calculated values
space-group type = No. 12
DOS at the Fermi energy = 1.84 states/eV/cell

=====

Version b
## CuAs2Rh (PBE-GGA)

Data for a relaxed structure of CuAs2Rh.

a b c (Å): 4.441 4.441 4.441
angles (deg): 60.00 60.00 60.00
Fractional positions:
Cu 0.000 0.000 0.000
As 0.500 0.500 0.500
As 0.750 0.750 0.750
Rh 0.250 0.250 0.250

Calculated values
space-group type = No. 216
DOS at the Fermi energy = 2.18 states/eV/cell

=====

version a is the most stable structure; the next one sits 28.8 kJ/mol of atoms above it.

=====

Version a
## CuAs2Rh (PBE-GGA)

Data for a relaxed structure of CuAs2Rh.

a b c (Å): 5.009 5.009 5.009
angles (deg): 135.35 135.35 64.99
Fractional positions:
Cu 0.000 0.000 0.000
As 0.500 0.500 0.000
As 0.750 0.250 0.500
Rh 0.250 0.750 0.500

Calculated values
space-group type = No. 119
DOS at the Fermi energy = 1.99 states/eV/cell

=====

Version b
## CuAs2Rh (PBE-GGA)

Data for a relaxed structure of CuAs2Rh.

a b c (Å): 3.208 3.211 6.030
angles (deg): 90.00 90.14 90.00
Fractional positions:
Cu 0.000 0.000 0.000
As 0.499 0.500 0.258
As 0.501 0.500 0.742
Rh 0.000 0.000 0.500

Calculated values
space-group type = No. 10
DOS at the Fermi energy = 1.58 states/eV/cell

=====

Version c
## CuAs2Rh (PBE-GGA)

Data for a relaxed structure of CuAs2Rh.

a b c (Å): 4.345 4.345 3.264
angles (deg): 90.11 90.11 88.49
Fractional positions:
Cu 0.000 0.000 0.000
As 0.000 0.500 0.500
As 0.500 0.000 0.500
Rh 0.500 0.500 0.000

Calculated values
space-group type = No. 12
DOS at the Fermi energy = 2.33 states/eV/cell

=====

version b is the most stable structure; the next one sits 4.0 kJ/mol of atoms above it.

=====

Version a
## CuAs2Rh (PBE-GGA)

Data for a relaxed structure of CuAs2Rh.

a b c (Å): 4.563 4.563 4.709
angles (deg): 102.73 102.73 42.69
Fractional positions:
Cu 0.000 0.000 0.000
As 0.504 0.504 0.545
As 0.741 0.741 0.118
Rh 0.235 0.235 0.699

Calculated values
space-group type = No. 8
DOS at the Fermi energy = 1.80 states/eV/cell

=====

Version b
## CuAs2Rh (PBE-GGA)

Data for a relaxed structure of CuAs2Rh.

a b c (Å): 3.761 4.722 4.352
angles (deg): 90.00 112.65 90.00
Fractional positions:
Cu 0.000 0.000 0.000
As 0.318 0.000 0.601
As 0.868 0.500 0.743
Rh 0.194 0.500 0.354

Calculated values
space-group type = No. 6
DOS at the Fermi energy = 1.11 states/eV/cell

=====

version b is the most stable structure; the next one sits 7.1 kJ/mol of atoms above it.

=====

Version a
## Cu3AsRh (PBE-GGA)

Data for a relaxed structure of Cu3AsRh.

a b c (Å): 4.596 4.596 4.596
angles (deg): 90.00 90.00 90.00
Fractional positions:
Cu 0.000 0.000 0.500
Cu 0.000 0.500 0.000
Cu 0.500 0.000 0.000
As 0.500 0.500 0.500
Rh 0.000 0.000 0.000

Calculated values
space-group type = No. 221
DOS at the Fermi energy = 5.65 states/eV/cell

=====

Version b
## Cu3AsRh (PBE-GGA)

Data for a relaxed structure of Cu3AsRh.

a b c (Å): 4.395 4.395 4.395
angles (deg): 90.00 90.00 90.00
Fractional positions:
Cu 0.000 0.000 0.500
Cu 0.000 0.500 0.000
Cu 0.500 0.000 0.000
As 0.000 0.000 0.000
Rh 0.500 0.500 0.500

Calculated values
space-group type = No. 221
DOS at the Fermi energy = 4.58 states/eV/cell

=====

version b is the most stable structure; the next one sits 41.9 kJ/mol of atoms above it.

=====

Version a
## CuAs2Rh2 (PBE-GGA)

Data for a relaxed structure of CuAs2Rh2.

a b c (Å): 6.309 6.309 6.309
angles (deg): 143.93 143.93 51.93
Fractional positions:
Cu 0.000 0.000 0.000
As 0.250 0.750 0.500
As 0.750 0.250 0.500
Rh 0.383 0.383 0.000
Rh 0.617 0.617 0.000

Calculated values
space-group type = No. 139
DOS at the Fermi energy = 1.75 states/eV/cell

=====

Version b
## CuAs2Rh2 (PBE-GGA)

Data for a relaxed structure of CuAs2Rh2.

a b c (Å): 7.012 7.012 3.163
angles (deg): 90.00 90.00 90.00
Fractional positions:
Cu 0.000 0.000 0.000
Cu 0.500 0.500 0.000
As 0.155 0.345 0.500
As 0.345 0.845 0.500
As 0.655 0.155 0.500
As 0.845 0.655 0.500
Rh 0.144 0.644 0.000
Rh 0.356 0.144 0.000
Rh 0.644 0.856 0.000
Rh 0.856 0.356 0.000

Calculated values
space-group type = No. 127
DOS at the Fermi energy = 6.22 states/eV/cell

=====

version b is the most stable structure; the next one sits 19.4 kJ/mol of atoms above it.

=====

Version a
## CuAs2Ru2 (PBE-GGA)

Data for a relaxed structure of CuAs2Ru2.

a b c (Å): 7.097 7.097 2.981
angles (deg): 90.00 90.00 90.00
Fractional positions:
Cu 0.000 0.000 0.000
Cu 0.500 0.500 0.000
As 0.153 0.347 0.500
As 0.347 0.847 0.500
As 0.653 0.153 0.500
As 0.847 0.653 0.500
Ru 0.145 0.645 0.000
Ru 0.355 0.145 0.000
Ru 0.645 0.855 0.000
Ru 0.855 0.355 0.000

Calculated values
space-group type = No. 127
DOS at the Fermi energy = 7.03 states/eV/cell

=====

Version b
## CuAs2Ru2 (PBE-GGA)

Data for a relaxed structure of CuAs2Ru2.

a b c (Å): 5.611 5.611 5.611
angles (deg): 135.94 135.94 64.08
Fractional positions:
Cu 0.000 0.000 0.000
As 0.373 0.373 0.000
As 0.627 0.627 0.000
Ru 0.250 0.750 0.500
Ru 0.750 0.250 0.500

Calculated values
space-group type = No. 139
DOS at the Fermi energy = 4.55 states/eV/cell

=====

version a is the most stable structure; the next one sits 1.3 kJ/mol of atoms above it.